Version i
First-principles (PBE-GGA) data for K2ZrTc after structural relaxation, as listed in Alexandria.

The symmetry is C2/m, No. 12.

Lattice parameters (Å, degrees): 5.584 13.007 3.327 90.00 122.37 90.00
Fractional coordinates of all 8 atoms:
1 K 0.250 0.250 0.000
2 K 0.250 0.750 0.000
3 K 0.750 0.250 0.000
4 K 0.750 0.750 0.000
5 Zr 0.000 0.000 0.500
6 Zr 0.500 0.500 0.500
7 Tc 0.000 0.500 0.500
8 Tc 0.500 0.000 0.500



Version ii
First-principles (PBE-GGA) data for K2ZrTc after structural relaxation, as listed in Alexandria.

The symmetry is Immm, No. 71.

Lattice parameters (Å, degrees): 3.227 4.222 21.336 90.00 90.00 90.00
Fractional coordinates of all 8 atoms:
1 K 0.000 0.000 0.151
2 K 0.000 0.000 0.849
3 K 0.500 0.500 0.349
4 K 0.500 0.500 0.651
5 Zr 0.000 0.500 0.000
6 Zr 0.500 0.000 0.500
7 Tc 0.000 0.500 0.500
8 Tc 0.500 0.000 0.000



Short version: version ii is the most stable of them.



Version i
First-principles (PBE-GGA) data for K2ZrTc after structural relaxation, as listed in Alexandria.

The symmetry is R3m, No. 160.

Lattice parameters (Å, degrees): 3.509 3.509 35.898 90.00 90.00 120.00
Fractional coordinates of all 12 atoms:
1 K 0.000 0.000 0.000
2 K 0.000 0.000 0.218
3 K 0.333 0.667 0.667
4 K 0.333 0.667 0.885
5 K 0.667 0.333 0.333
6 K 0.667 0.333 0.551
7 Zr 0.000 0.000 0.455
8 Zr 0.333 0.667 0.122
9 Zr 0.667 0.333 0.788
10 Tc 0.000 0.000 0.742
11 Tc 0.333 0.667 0.409
12 Tc 0.667 0.333 0.076



Version ii
First-principles (PBE-GGA) data for K2ZrTc after structural relaxation, as listed in Alexandria.

The symmetry is Pmmm, No. 47.

Lattice parameters (Å, degrees): 2.927 5.589 6.310 90.00 90.00 90.00
Fractional coordinates of all 4 atoms:
1 K 0.000 0.244 0.000
2 K 0.000 0.756 0.000
3 Zr 0.500 0.500 0.500
4 Tc 0.500 0.000 0.500



Short version: version i is the most stable of them.



Version i
First-principles (PBE-GGA) data for K3ZrTc after structural relaxation, as listed in Alexandria.

The symmetry is Pm-3m, No. 221.

Lattice parameters (Å, degrees): 5.837 5.837 5.837 90.00 90.00 90.00
Fractional coordinates of all 5 atoms:
1 K 0.000 0.000 0.500
2 K 0.000 0.500 0.000
3 K 0.500 0.000 0.000
4 Zr 0.500 0.500 0.500
5 Tc 0.000 0.000 0.000



Version ii
First-principles (PBE-GGA) data for K3ZrTc after structural relaxation, as listed in Alexandria.

The symmetry is Pm-3m, No. 221.

Lattice parameters (Å, degrees): 6.626 6.626 6.626 90.00 90.00 90.00
Fractional coordinates of all 5 atoms:
1 K 0.000 0.000 0.500
2 K 0.000 0.500 0.000
3 K 0.500 0.000 0.000
4 Zr 0.000 0.000 0.000
5 Tc 0.500 0.500 0.500



Short version: version ii is the most stable of them.



Version i
First-principles (PBE-GGA) data for KZrTc after structural relaxation, as listed in Alexandria.

The symmetry is F-43m, No. 216.

Lattice parameters (Å, degrees): 6.702 6.702 6.702 90.00 90.00 90.00
Fractional coordinates of all 12 atoms:
1 K 0.000 0.000 0.000
2 K 0.000 0.500 0.500
3 K 0.500 0.000 0.500
4 K 0.500 0.500 0.000
5 Zr 0.000 0.000 0.500
6 Zr 0.000 0.500 0.000
7 Zr 0.500 0.000 0.000
8 Zr 0.500 0.500 0.500
9 Tc 0.250 0.250 0.250
10 Tc 0.250 0.750 0.750
11 Tc 0.750 0.250 0.750
12 Tc 0.750 0.750 0.250



Version ii
First-principles (PBE-GGA) data for KZrTc after structural relaxation, as listed in Alexandria.

The symmetry is I4mm, No. 107.

Lattice parameters (Å, degrees): 3.420 3.420 14.204 90.00 90.00 90.00
Fractional coordinates of all 6 atoms:
1 K 0.000 0.000 0.000
2 K 0.500 0.500 0.500
3 Zr 0.000 0.000 0.262
4 Zr 0.500 0.500 0.762
5 Tc 0.000 0.000 0.683
6 Tc 0.500 0.500 0.183



Version iii
First-principles (PBE-GGA) data for KZrTc after structural relaxation, as listed in Alexandria.

The symmetry is P3m1, No. 156.

Lattice parameters (Å, degrees): 2.962 2.962 8.906 90.00 90.00 120.00
Fractional coordinates of all 3 atoms:
1 K 0.000 0.000 0.000
2 Zr 0.333 0.667 0.602
3 Tc 0.667 0.333 0.327



Short version: version ii is the most stable of them.



Version i
First-principles (PBE-GGA) data for KZrTc after structural relaxation, as listed in Alexandria.

The symmetry is P3m1, No. 156.

Lattice parameters (Å, degrees): 5.253 5.253 2.676 90.00 90.00 120.00
Fractional coordinates of all 3 atoms:
1 K 0.000 0.000 0.000
2 Zr 0.333 0.667 0.007
3 Tc 0.667 0.333 0.503



Version ii
First-principles (PBE-GGA) data for KZrTc after structural relaxation, as listed in Alexandria.

The symmetry is Fmm2, No. 42.

Lattice parameters (Å, degrees): 3.469 5.254 16.497 90.00 90.00 90.00
Fractional coordinates of all 12 atoms:
1 K 0.000 0.000 0.000
2 K 0.000 0.500 0.500
3 K 0.500 0.000 0.500
4 K 0.500 0.500 0.000
5 Zr 0.000 0.000 0.714
6 Zr 0.000 0.500 0.214
7 Zr 0.500 0.000 0.214
8 Zr 0.500 0.500 0.714
9 Tc 0.000 0.000 0.327
10 Tc 0.000 0.500 0.827
11 Tc 0.500 0.000 0.827
12 Tc 0.500 0.500 0.327



Short version: version ii is the most stable of them.



Version i
First-principles (PBE-GGA) data for KZr3Tc after structural relaxation, as listed in Alexandria.

The symmetry is Pm-3m, No. 221.

Lattice parameters (Å, degrees): 4.772 4.772 4.772 90.00 90.00 90.00
Fractional coordinates of all 5 atoms:
1 K 0.000 0.000 0.000
2 Zr 0.000 0.000 0.500
3 Zr 0.000 0.500 0.000
4 Zr 0.500 0.000 0.000
5 Tc 0.500 0.500 0.500



Version ii
First-principles (PBE-GGA) data for KZr3Tc after structural relaxation, as listed in Alexandria.

The symmetry is Pm-3m, No. 221.

Lattice parameters (Å, degrees): 5.202 5.202 5.202 90.00 90.00 90.00
Fractional coordinates of all 5 atoms:
1 K 0.000 0.000 0.000
2 Zr 0.000 0.500 0.500
3 Zr 0.500 0.000 0.500
4 Zr 0.500 0.500 0.000
5 Tc 0.500 0.500 0.500



Short version: version ii is the most stable of them.



Version i
First-principles (PBE-GGA) data for KTe2 after structural relaxation, as listed in Alexandria.

The symmetry is P-3m1, No. 164.

Lattice parameters (Å, degrees): 3.460 3.460 10.037 90.00 90.00 120.00
Fractional coordinates of all 3 atoms:
1 K 0.000 0.000 0.000
2 Te 0.333 0.667 0.287
3 Te 0.667 0.333 0.713



Version ii
First-principles (PBE-GGA) data for KTe2 after structural relaxation, as listed in Alexandria.

The symmetry is I4/mcm, No. 140.

Lattice parameters (Å, degrees): 6.361 6.361 11.124 90.00 90.00 90.00
Fractional coordinates of all 12 atoms:
1 K 0.000 0.000 0.250
2 K 0.000 0.000 0.750
3 K 0.500 0.500 0.250
4 K 0.500 0.500 0.750
5 Te 0.167 0.333 0.000
6 Te 0.167 0.667 0.500
7 Te 0.333 0.167 0.500
8 Te 0.333 0.833 0.000
9 Te 0.667 0.167 0.000
10 Te 0.667 0.833 0.500
11 Te 0.833 0.333 0.500
12 Te 0.833 0.667 0.000



Version iii
First-principles (PBE-GGA) data for KTe2 after structural relaxation, as listed in Alexandria.

The symmetry is Pnma, No. 62.

Lattice parameters (Å, degrees): 8.690 4.089 12.626 90.00 90.00 90.00
Fractional coordinates of all 12 atoms:
1 K 0.172 0.250 0.130
2 K 0.328 0.750 0.630
3 K 0.672 0.250 0.370
4 K 0.828 0.750 0.870
5 Te 0.090 0.250 0.434
6 Te 0.176 0.250 0.841
7 Te 0.324 0.750 0.341
8 Te 0.410 0.750 0.934
9 Te 0.590 0.250 0.066
10 Te 0.676 0.250 0.659
11 Te 0.824 0.750 0.159
12 Te 0.910 0.750 0.566



Version iv
First-principles (PBE-GGA) data for KTe2 after structural relaxation, as listed in Alexandria.

The symmetry is C2/m, No. 12.

Lattice parameters (Å, degrees): 12.639 4.468 8.511 90.00 100.10 90.00
Fractional coordinates of all 12 atoms:
1 K 0.113 0.000 0.281
2 K 0.387 0.500 0.719
3 K 0.613 0.500 0.281
4 K 0.887 0.000 0.719
5 Te 0.092 0.500 0.630
6 Te 0.194 0.000 0.889
7 Te 0.306 0.500 0.111
8 Te 0.408 0.000 0.370
9 Te 0.592 0.000 0.630
10 Te 0.694 0.500 0.889
11 Te 0.806 0.000 0.111
12 Te 0.908 0.500 0.370



Short version: version iv is the most stable of them.



Version i
First-principles (PBE-GGA) data for KTe2 after structural relaxation, as listed in Alexandria.

The symmetry is P2/m, No. 10.

Lattice parameters (Å, degrees): 5.361 4.284 5.474 90.00 107.27 90.00
Fractional coordinates of all 3 atoms:
1 K 0.000 0.000 0.000
2 Te 0.403 0.500 0.723
3 Te 0.597 0.500 0.277



Version ii
First-principles (PBE-GGA) data for KTe2 after structural relaxation, as listed in Alexandria.

The symmetry is P6_3/mmc, No. 194.

Lattice parameters (Å, degrees): 5.302 5.302 9.836 90.00 90.00 120.00
Fractional coordinates of all 6 atoms:
1 K 0.000 0.000 0.250
2 K 0.000 0.000 0.750
3 Te 0.333 0.667 0.020
4 Te 0.333 0.667 0.480
5 Te 0.667 0.333 0.520
6 Te 0.667 0.333 0.980



Short version: version i is the most stable of them.



Version i
First-principles (PBE-GGA) data for KTe2 after structural relaxation, as listed in Alexandria.

The symmetry is I4/mmm, No. 139.

Lattice parameters (Å, degrees): 3.271 3.271 19.119 90.00 90.00 90.00
Fractional coordinates of all 6 atoms:
1 K 0.000 0.000 0.000
2 K 0.500 0.500 0.500
3 Te 0.000 0.000 0.357
4 Te 0.000 0.000 0.643
5 Te 0.500 0.500 0.143
6 Te 0.500 0.500 0.857



Version ii
First-principles (PBE-GGA) data for KTe2 after structural relaxation, as listed in Alexandria.

The symmetry is Fd-3m, No. 227.

Lattice parameters (Å, degrees): 6.702 6.702 6.702 60.00 60.00 60.00
Fractional coordinates of all 6 atoms:
1 K 0.125 0.125 0.125
2 K 0.875 0.875 0.875
3 Te 0.000 0.500 0.500
4 Te 0.500 0.000 0.500
5 Te 0.500 0.500 0.000
6 Te 0.500 0.500 0.500



Short version: version ii is the most stable of them.



Version i
First-principles (PBE-GGA) data for KTe2 after structural relaxation, as listed in Alexandria.

The symmetry is P6_3/mmc, No. 194.

Lattice parameters (Å, degrees): 5.848 5.848 6.733 90.00 90.00 120.00
Fractional coordinates of all 6 atoms:
1 K 0.333 0.667 0.250
2 K 0.667 0.333 0.750
3 Te 0.000 0.000 0.000
4 Te 0.000 0.000 0.500
5 Te 0.333 0.667 0.750
6 Te 0.667 0.333 0.250



Version ii
First-principles (PBE-GGA) data for KTe2 after structural relaxation, as listed in Alexandria.

The symmetry is Immm, No. 71.

Lattice parameters (Å, degrees): 3.918 5.450 11.504 90.00 90.00 90.00
Fractional coordinates of all 6 atoms:
1 K 0.000 0.000 0.000
2 K 0.500 0.500 0.500
3 Te 0.000 0.000 0.382
4 Te 0.000 0.000 0.618
5 Te 0.500 0.500 0.118
6 Te 0.500 0.500 0.882



Version iii
First-principles (PBE-GGA) data for KTe2 after structural relaxation, as listed in Alexandria.

The symmetry is P6/mmm, No. 191.

Lattice parameters (Å, degrees): 5.322 5.322 4.876 90.00 90.00 120.00
Fractional coordinates of all 3 atoms:
1 K 0.000 0.000 0.000
2 Te 0.333 0.667 0.500
3 Te 0.667 0.333 0.500



Short version: version ii is the most stable of them.



Version i
First-principles (PBE-GGA) data for KTe2 after structural relaxation, as listed in Alexandria.

The symmetry is Cm, No. 8.

Lattice parameters (Å, degrees): 12.343 4.495 10.349 90.00 118.39 90.00
Fractional coordinates of all 12 atoms:
1 K 0.000 0.000 0.000
2 K 0.219 0.000 0.579
3 K 0.500 0.500 0.000
4 K 0.719 0.500 0.579
5 Te 0.151 0.500 0.810
6 Te 0.167 0.500 0.300
7 Te 0.285 0.000 0.035
8 Te 0.379 0.500 0.272
9 Te 0.651 0.000 0.810
10 Te 0.667 0.000 0.300
11 Te 0.785 0.500 0.035
12 Te 0.879 0.000 0.272



Version ii
First-principles (PBE-GGA) data for KTe2 after structural relaxation, as listed in Alexandria.

The symmetry is Cmcm, No. 63.

Lattice parameters (Å, degrees): 4.414 20.828 4.977 90.00 90.00 90.00
Fractional coordinates of all 12 atoms:
1 K 0.000 0.117 0.250
2 K 0.000 0.883 0.750
3 K 0.500 0.383 0.750
4 K 0.500 0.617 0.250
5 Te 0.000 0.249 0.750
6 Te 0.000 0.468 0.250
7 Te 0.000 0.532 0.750
8 Te 0.000 0.751 0.250
9 Te 0.500 0.032 0.750
10 Te 0.500 0.251 0.250
11 Te 0.500 0.749 0.750
12 Te 0.500 0.968 0.250



Short version: version ii is the most stable of them.